# CdCoF4, optimized geometry, DFT GGA+U
data_CdCoF4
_chemical_formula_sum 'Cd4 Co4 F16'
_cell_length_a 11.444
_cell_length_b 5.404
_cell_length_c 5.354
_cell_angle_alpha 90.00
_cell_angle_beta 111.67
_cell_angle_gamma 90.00
_space_group_name_H-M_alt 'C 1 2/c 1'
_space_group_IT_number 15
loop_
_space_group_symop_operation_xyz
'x,y,z'
'-x,-y,-z'
'-x,y,-z+1/2'
'x,-y,z+1/2'
'x+1/2,y+1/2,z'
'-x+1/2,-y+1/2,-z'
'-x+1/2,y+1/2,-z+1/2'
'x+1/2,-y+1/2,z+1/2'
loop_
_atom_site_label
_atom_site_fract_x
_atom_site_fract_y
_atom_site_fract_z
Cd1 0.250 0.250 0.000
Co1 0.000 0.204 0.250
F1 0.116 0.047 0.612
F2 0.126 0.438 0.204
# **Density of states at the Fermi level**: 0.00 states/eV per atom
# **Energy**: -4.3820 eV/atom

=====

# Cd2CoF, optimized geometry, DFT GGA+U
data_Cd2CoF
_chemical_formula_sum 'Cd8 Co4 F4'
_cell_length_a 7.036
_cell_length_b 7.036
_cell_length_c 5.821
_cell_angle_alpha 90.00
_cell_angle_beta 90.00
_cell_angle_gamma 90.00
_space_group_name_H-M_alt 'I -4 2 d'
_space_group_IT_number 122
_space_group_name_Hall 'I -4 2bw'
loop_
_atom_site_label
_atom_site_fract_x
_atom_site_fract_y
_atom_site_fract_z
Cd1 0.218 0.250 0.125
Co1 0.000 0.000 0.500
F1 0.000 0.000 0.000
# **Density of states at the Fermi level**: 0.15 states/eV per atom
# **Energy**: -2.5479 eV/atom

=====

# CdCoF2, optimized geometry, DFT GGA+U
data_CdCoF2
_chemical_formula_sum 'Cd4 Co4 F8'
_cell_length_a 5.971
_cell_length_b 5.971
_cell_length_c 9.617
_cell_angle_alpha 90.00
_cell_angle_beta 90.00
_cell_angle_gamma 90.00
_space_group_name_H-M_alt 'I -4 2 d'
_space_group_IT_number 122
_space_group_name_Hall 'I -4 2bw'
loop_
_atom_site_label
_atom_site_fract_x
_atom_site_fract_y
_atom_site_fract_z
Cd1 0.000 0.000 0.000
Co1 0.000 0.000 0.500
F1 0.048 0.250 0.625
# **Density of states at the Fermi level**: 0.06 states/eV per atom
# **Energy**: -3.7608 eV/atom

=====

# CdCo2F2, optimized geometry, DFT GGA+U
data_CdCo2F2
_chemical_formula_sum 'Cd2 Co4 F4'
_cell_length_a 6.882
_cell_length_b 6.882
_cell_length_c 2.875
_cell_angle_alpha 90.00
_cell_angle_beta 90.00
_cell_angle_gamma 90.00
_space_group_name_H-M_alt 'P 4/m b m'
_space_group_IT_number 127
_space_group_name_Hall '-P 4 2ab'
loop_
_atom_site_label
_atom_site_fract_x
_atom_site_fract_y
_atom_site_fract_z
Cd1 0.000 0.000 0.000
Co1 0.187 0.313 0.500
F1 0.133 0.633 0.000
# **Density of states at the Fermi level**: 0.36 states/eV per atom
# **Energy**: -3.4867 eV/atom

=====

# Cd4Co6F19, optimized geometry, DFT GGA+U
data_Cd4Co6F19
_chemical_formula_sum 'Cd8 Co12 F38'
_cell_length_a 9.280
_cell_length_b 9.280
_cell_length_c 9.280
_cell_angle_alpha 90.00
_cell_angle_beta 90.00
_cell_angle_gamma 90.00
_space_group_name_H-M_alt 'I 2 3'
_space_group_IT_number 197
_space_group_name_Hall 'I 2 2 3'
loop_
_atom_site_label
_atom_site_fract_x
_atom_site_fract_y
_atom_site_fract_z
Cd1 0.147 0.147 0.853
Co1 0.000 0.340 0.500
F1 0.000 0.000 0.000
F2 0.000 0.000 0.338
F3 0.042 0.325 0.713
# **Density of states at the Fermi level**: 0.11 states/eV per atom
# **Energy**: -4.4286 eV/atom

=====

# CdCoF5, optimized geometry, DFT GGA+U
data_CdCoF5
_chemical_formula_sum 'Cd4 Co4 F20'
_cell_length_a 9.026
_cell_length_b 6.639
_cell_length_c 7.954
_cell_angle_alpha 90.00
_cell_angle_beta 115.92
_cell_angle_gamma 90.00
_space_group_name_H-M_alt 'C 1 2/c 1'
_space_group_IT_number 15
loop_
_space_group_symop_operation_xyz
'x,y,z'
'-x,-y,-z'
'-x,y,-z+1/2'
'x,-y,z+1/2'
'x+1/2,y+1/2,z'
'-x+1/2,-y+1/2,-z'
'-x+1/2,y+1/2,-z+1/2'
'x+1/2,-y+1/2,z+1/2'
loop_
_atom_site_label
_atom_site_fract_x
_atom_site_fract_y
_atom_site_fract_z
Cd1 0.000 0.000 0.000
Co1 0.000 0.481 0.250
F1 0.000 0.159 0.250
F2 0.019 0.320 0.931
F3 0.221 0.448 0.342
# **Density of states at the Fermi level**: 0.00 states/eV per atom
# **Energy**: -4.1795 eV/atom

=====

# CdCo2F2, optimized geometry, DFT GGA+U
data_CdCo2F2
_chemical_formula_sum 'Cd2 Co4 F4'
_cell_length_a 8.568
_cell_length_b 8.568
_cell_length_c 2.737
_cell_angle_alpha 90.00
_cell_angle_beta 90.00
_cell_angle_gamma 90.00
_space_group_name_H-M_alt 'P 4/m b m'
_space_group_IT_number 127
_space_group_name_Hall '-P 4 2ab'
loop_
_atom_site_label
_atom_site_fract_x
_atom_site_fract_y
_atom_site_fract_z
Cd1 0.000 0.000 0.000
Co1 0.093 0.407 0.000
F1 0.210 0.290 0.500
# **Density of states at the Fermi level**: 0.26 states/eV per atom
# **Energy**: -3.5171 eV/atom

=====

# CdCoF2, optimized geometry, DFT GGA+U
data_CdCoF2
_chemical_formula_sum 'Cd4 Co4 F8'
_cell_length_a 6.047
_cell_length_b 6.047
_cell_length_c 6.047
_cell_angle_alpha 90.00
_cell_angle_beta 90.00
_cell_angle_gamma 90.00
_space_group_name_H-M_alt 'F m -3 m'
_space_group_IT_number 225
_space_group_name_Hall '-F 4 2 3'
loop_
_atom_site_label
_atom_site_fract_x
_atom_site_fract_y
_atom_site_fract_z
Cd1 0.000 0.000 0.000
Co1 0.000 0.000 0.500
F1 0.250 0.250 0.250
# **Density of states at the Fermi level**: 1.12 states/eV per atom
# **Energy**: -3.2270 eV/atom